1.
Computed, not measured: crystalline HoTeAsO6 at its relaxed geometry at the PBE level of DFT.

a b c (Å): 5.327 5.327 9.447
angles (deg): 90.00 90.00 120.00
Fractional positions:
O  0.029  0.661  0.866
O  0.339  0.971  0.634
O  0.368  0.029  0.134
O  0.661  0.029  0.366
O  0.339  0.368  0.866
O  0.971  0.339  0.134
O  0.029  0.368  0.634
O  0.971  0.632  0.366
O  0.368  0.339  0.366
O  0.632  0.661  0.634
O  0.632  0.971  0.866
O  0.661  0.632  0.134
As  0.667  0.333  0.750
As  0.333  0.667  0.250
Te  0.667  0.333  0.250
Te  0.333  0.667  0.750
Ho  0.000  0.000  0.500
Ho  0.000  0.000  0.000

## Properties
As for the crystal system: trigonal. The calculation puts the total magnetization at 0.000 μB per atom. The calculation puts the total energy at -6.3741 eV/atom.

***

2.
Computed, not measured: crystalline LiMgTa2Ga2Os2 at its relaxed geometry at the PBE level of DFT.

a b c (Å): 4.401 4.401 6.263
angles (deg): 90.00 90.00 90.00
Fractional positions:
Li  0.000  0.000  0.000
Os  0.000  0.000  0.500
Os  0.500  0.500  0.000
Mg  0.500  0.500  0.500
Ga  0.000  0.500  0.760
Ga  0.500  0.000  0.240
Ta  0.000  0.500  0.243
Ta  0.500  0.000  0.757

## Properties
As for the crystal system: tetragonal. The calculation puts the total magnetization at 0.000 μB per atom. The calculation puts the total energy at -7.1934 eV/atom.

***

3.
Computed, not measured: crystalline ErCoGe2 at its relaxed geometry at the PBE level of DFT.

a b c (Å): 4.143 4.086 8.523
angles (deg): 76.13 90.00 90.00
Fractional positions:
Co  0.250  0.680  0.640
Co  0.750  0.320  0.360
Ge  0.750  0.456  0.088
Ge  0.250  0.251  0.498
Ge  0.250  0.544  0.912
Ge  0.750  0.749  0.502
Er  0.250  0.890  0.219
Er  0.750  0.110  0.781

## Properties
As for the crystal system: orthorhombic. The calculation puts the total magnetization at 0.001 μB per atom. The calculation puts the total energy at -5.8401 eV/atom.

***

4.
Computed, not measured: crystalline NbAlNO at its relaxed geometry at the PBE level of DFT.

a b c (Å): 4.371 5.841 7.469
angles (deg): 90.00 90.00 90.00
Fractional positions:
Al  0.505  0.417  0.620
Al  0.005  0.083  0.620
Al  0.005  0.583  0.380
Al  0.505  0.917  0.380
N  0.551  0.063  0.170
N  0.051  0.437  0.170
N  0.551  0.563  0.830
N  0.051  0.937  0.830
O  0.601  0.117  0.565
O  0.601  0.617  0.435
O  0.101  0.883  0.435
O  0.101  0.383  0.565
Nb  0.545  0.416  0.092
Nb  0.045  0.584  0.908
Nb  0.045  0.084  0.092
Nb  0.545  0.916  0.908

## Properties
As for the crystal system: orthorhombic. The energy above the most stable polymorph in this dataset is 36 meV/atom. The calculation puts the total magnetization at 0.000 μB per atom.

***

5.
Computed, not measured: crystalline ReS2 at its relaxed geometry at the PBE level of DFT.

a b c (Å): 3.148 5.723 13.066
angles (deg): 90.00 90.00 90.00
Fractional positions:
Re  0.000  0.078  0.005
Re  0.000  0.521  0.509
Re  0.500  0.922  0.505
Re  0.500  0.479  0.009
S  0.500  0.853  0.106
S  0.000  0.355  0.137
S  0.500  0.296  0.408
S  0.000  0.798  0.378
S  0.500  0.202  0.878
S  0.500  0.645  0.637
S  0.000  0.704  0.908
S  0.000  0.147  0.606

## Properties
As for the crystal system: orthorhombic. The calculation puts the total magnetization at 0.003 μB per atom. The calculation puts the total energy at -7.3544 eV/atom.

***

6.
Computed, not measured: crystalline PrYAg at its relaxed geometry at the PBE level of DFT.

a b c (Å): 5.008 5.008 5.008
angles (deg): 60.00 60.00 60.00
Fractional positions:
Y  0.000  0.000  0.000
Pr  0.250  0.250  0.250
Ag  0.750  0.750  0.750

## Properties
As for the crystal system: cubic. The calculation puts the total magnetization at 0.001 μB per atom. The calculation puts the energy relative to the elements at 469 meV per atom.

***

7.
Computed, not measured: crystalline KSmSO at its relaxed geometry at the PBE level of DFT.

a b c (Å): 4.113 4.113 9.895
angles (deg): 90.00 90.00 90.00
Fractional positions:
S  0.250  0.250  0.721
S  0.750  0.750  0.279
Sm  0.750  0.750  0.890
Sm  0.250  0.250  0.110
O  0.250  0.750  0.000
O  0.750  0.250  0.000
K  0.750  0.250  0.500
K  0.250  0.750  0.500

## Properties
As for the crystal system: tetragonal. The energy above the most stable polymorph in this dataset is 213 meV/atom. The calculation puts the total magnetization at 0.001 μB per atom.

***

8.
Computed, not measured: crystalline KSmSeO at its relaxed geometry at the PBE level of DFT.

a b c (Å): 5.908 5.903 11.697
angles (deg): 90.00 105.42 90.00
Fractional positions:
K  0.057  0.622  0.602
K  0.943  0.122  0.398
K  0.557  0.122  0.602
K  0.443  0.622  0.398
Se  0.116  0.123  0.709
Se  0.385  0.123  0.291
Se  0.615  0.623  0.709
Se  0.884  0.623  0.291
Sm  0.048  0.853  0.095
Sm  0.452  0.854  0.905
Sm  0.548  0.354  0.095
Sm  0.952  0.353  0.905
O  0.250  0.602  0.000
O  0.750  0.102  0.000
O  0.750  0.601  0.000
O  0.250  0.101  0.000

## Properties
As for the crystal system: monoclinic. The energy above the most stable polymorph in this dataset is 0 meV/atom. The calculation puts the total magnetization at 0.000 μB per atom.

***

9.
Computed, not measured: crystalline Ho4CoB13 at its relaxed geometry at the PBE level of DFT.

a b c (Å): 7.285 7.285 6.866
angles (deg): 90.00 90.00 90.00
Fractional positions:
B  0.170  0.961  0.745
B  0.910  0.590  0.750
B  0.410  0.910  0.750
B  0.830  0.039  0.745
B  0.590  0.090  0.750
B  0.670  0.539  0.755
B  0.039  0.170  0.745
B  0.000  0.000  0.500
B  0.670  0.539  0.245
B  0.539  0.330  0.245
B  0.039  0.170  0.255
B  0.539  0.330  0.755
B  0.961  0.830  0.745
B  0.410  0.910  0.250
B  0.170  0.961  0.255
B  0.961  0.830  0.255
B  0.090  0.410  0.250
B  0.461  0.670  0.755
B  0.910  0.590  0.250
B  0.330  0.461  0.755
B  0.590  0.090  0.250
B  0.330  0.461  0.245
B  0.830  0.039  0.255
B  0.500  0.500  0.000
B  0.461  0.670  0.245
B  0.090  0.410  0.750
Ho  0.681  0.816  0.000
Ho  0.816  0.319  0.000
Ho  0.316  0.181  0.500
Ho  0.184  0.681  0.000
Ho  0.319  0.184  0.000
Ho  0.181  0.684  0.500
Ho  0.684  0.819  0.500
Ho  0.819  0.316  0.500
Co  0.000  0.000  0.000
Co  0.500  0.500  0.500

## Properties
As for the crystal system: tetragonal. The calculation puts the total magnetization at 0.000 μB per atom. The calculation puts the total energy at -6.7260 eV/atom.

***

10.
Computed, not measured: crystalline AcY2Sc2 at its relaxed geometry at the PBE level of DFT.

a b c (Å): 5.037 5.037 7.433
angles (deg): 109.81 109.81 90.00
Fractional positions:
Ac  0.000  0.000  0.000
Y  0.382  0.382  0.764
Y  0.618  0.618  0.236
Sc  0.750  0.250  0.500
Sc  0.250  0.750  0.500

## Properties
As for the crystal system: tetragonal. The energy above the most stable polymorph in this dataset is 86 meV/atom. The calculation puts the total magnetization at 0.037 μB per atom. The calculation puts the energy relative to the elements at 481 meV per atom.

***

11.
Computed, not measured: crystalline Cu2Ag3 at its relaxed geometry at the PBE level of DFT.

a b c (Å): 4.878 4.878 11.852
angles (deg): 99.18 99.18 34.00
Fractional positions:
Cu  0.186  0.186  0.418
Cu  0.000  0.000  0.000
Cu  0.814  0.814  0.582
Cu  0.500  0.500  0.500
Ag  0.114  0.114  0.680
Ag  0.407  0.407  0.791
Ag  0.301  0.301  0.101
Ag  0.886  0.886  0.320
Ag  0.593  0.593  0.209
Ag  0.699  0.699  0.899

## Properties
As for the crystal system: monoclinic. The energy above the most stable polymorph in this dataset is 47 meV/atom. The calculation puts the energy relative to the elements at 79 meV per atom.

***

12.
Computed, not measured: crystalline TlCuCl3 at its relaxed geometry at the PBE level of DFT.

a b c (Å): 8.796 3.931 13.957
angles (deg): 90.00 90.00 90.00
Fractional positions:
Cl  0.535  0.750  0.406
Cl  0.177  0.750  0.510
Cl  0.677  0.750  0.990
Cl  0.323  0.250  0.010
Cl  0.268  0.750  0.810
Cl  0.465  0.250  0.594
Cl  0.732  0.250  0.190
Cl  0.965  0.250  0.906
Cl  0.232  0.250  0.310
Cl  0.768  0.750  0.690
Cl  0.823  0.250  0.490
Cl  0.035  0.750  0.094
Cu  0.827  0.250  0.042
Cu  0.173  0.750  0.958
Cu  0.327  0.250  0.458
Cu  0.673  0.750  0.542
Tl  0.561  0.250  0.823
Tl  0.061  0.250  0.677
Tl  0.939  0.750  0.323
Tl  0.439  0.750  0.177

## Properties
As for the crystal system: orthorhombic. The calculation puts the total energy at -2.9803 eV/atom.